Below is a relaxed HfInCuMo crystal, with properties calculated at the GGA-PBE level.

a b c (Å): 4.669 4.669 4.669
angles (deg): 60.00 60.00 60.00
Positions (direct):
Cu 0.750 0.750 0.750
Hf 0.500 0.500 0.500
In 0.000 0.000 0.000
Mo 0.250 0.250 0.250

E: -6.59 eV per atom